DFT (GGA-PBE) results for a relaxed structure of Ac2HoGa3Pd4. Values from VASP.

Quantum ESPRESSO input file:
```
&SYSTEM
  ibrav = 0, nat = 10, ntyp = 4
/
ATOMIC_SPECIES
Ac 227.00 Ac.upf
Ho 164.93 Ho.upf
Ga 69.72 Ga.upf
Pd 106.42 Pd.upf
CELL_PARAMETERS angstrom
4.4140 0.0000 0.0000
0.0000 4.4140 0.0000
0.0000 0.0000 11.3752
ATOMIC_POSITIONS crystal
Ac 0.0000 0.5000 0.2310
Ac 0.5000 0.0000 0.7690
Ho 0.0000 0.0000 0.5000
Ga 0.0000 0.5000 0.8834
Ga 0.5000 0.0000 0.1166
Ga 0.5000 0.5000 0.5000
Pd 0.0000 0.0000 0.0000
Pd 0.0000 0.5000 0.6545
Pd 0.5000 0.0000 0.3455
Pd 0.5000 0.5000 0.0000
```

Values from the calculation:
The symmetry is No. 115. The calculation puts the volume at 22.16 Å³/atom. The formation energy comes out at -0.81 eV/atom.

***

DFT (GGA-PBE) results for a relaxed structure of SrSc4. Values from VASP.

Quantum ESPRESSO input file:
```
&SYSTEM
  ibrav = 0, nat = 5, ntyp = 2
/
ATOMIC_SPECIES
Sr 87.62 Sr.upf
Sc 44.96 Sc.upf
CELL_PARAMETERS angstrom
-3.4956 3.4956 3.4956
3.4956 -3.4956 3.4956
3.4956 3.4956 -3.4956
ATOMIC_POSITIONS crystal
Sr 0.0000 0.0000 0.0000
Sc 0.0000 0.0000 0.5000
Sc 0.0000 0.5000 0.0000
Sc 0.5000 0.0000 0.0000
Sc 0.5000 0.5000 0.5000
```

Values from the calculation:
The symmetry is No. 229. The calculation puts the volume at 34.17 Å³/atom. The formation energy comes out at 1.27 eV/atom.

***

DFT (GGA-PBE) results for a relaxed structure of AgS. Values from VASP.

Quantum ESPRESSO input file:
```
&SYSTEM
  ibrav = 0, nat = 2, ntyp = 2
/
ATOMIC_SPECIES
Ag 107.87 Ag.upf
S 32.06 S.upf
CELL_PARAMETERS angstrom
0.0000 2.8513 2.8513
2.8513 0.0000 2.8513
2.8513 2.8513 0.0000
ATOMIC_POSITIONS crystal
Ag 0.0000 0.0000 0.0000
S 0.2500 0.2500 0.2500
```

Values from the calculation:
The symmetry is No. 216. The calculation puts the volume at 23.18 Å³/atom. The formation energy (no corrections) is 177 meV per atom.

***

DFT (GGA-PBE) results for a relaxed structure of MgAl2P. Values from VASP.

Quantum ESPRESSO input file:
```
&SYSTEM
  ibrav = 0, nat = 4, ntyp = 3
/
ATOMIC_SPECIES
Mg 24.30 Mg.upf
Al 26.98 Al.upf
P 30.97 P.upf
CELL_PARAMETERS angstrom
0.0000 3.2649 3.2649
3.2649 0.0000 3.2649
3.2649 3.2649 0.0000
ATOMIC_POSITIONS crystal
Mg 0.0000 0.0000 0.0000
Al 0.2500 0.2500 0.2500
Al 0.7500 0.7500 0.7500
P 0.5000 0.5000 0.5000
```

Values from the calculation:
The symmetry is No. 225. The calculation puts the volume at 17.40 Å³/atom. The formation energy comes out at 0.25 eV/atom.

***

DFT (GGA-PBE) results for a relaxed structure of Ac11Hg4Pb9. Values from VASP.

Quantum ESPRESSO input file:
```
&SYSTEM
  ibrav = 0, nat = 24, ntyp = 3
/
ATOMIC_SPECIES
Ac 227.00 Ac.upf
Hg 200.59 Hg.upf
Pb 207.20 Pb.upf
CELL_PARAMETERS angstrom
7.7332 -13.6319 0.0000
7.7332 13.6319 0.0000
0.0000 0.0000 3.9419
ATOMIC_POSITIONS crystal
Ac 0.0000 0.0000 0.0000
Ac 0.0729 0.4177 0.0000
Ac 0.1601 0.8399 0.0000
Ac 0.2870 0.2870 0.0000
Ac 0.3492 0.6508 0.0000
Ac 0.4177 0.0729 0.0000
Ac 0.5823 0.9271 0.0000
Ac 0.6508 0.3492 0.0000
Ac 0.7130 0.7130 0.0000
Ac 0.8399 0.1601 0.0000
Ac 0.9271 0.5823 0.0000
Hg 0.2621 0.4492 0.5000
Hg 0.4492 0.2621 0.5000
Hg 0.5508 0.7379 0.5000
Hg 0.7379 0.5508 0.5000
Pb 0.0588 0.2178 0.5000
Pb 0.1442 0.6384 0.5000
Pb 0.2178 0.0588 0.5000
Pb 0.3616 0.8558 0.5000
Pb 0.5000 0.5000 0.5000
Pb 0.6384 0.1442 0.5000
Pb 0.7822 0.9412 0.5000
Pb 0.8558 0.3616 0.5000
Pb 0.9412 0.7822 0.5000
```

Values from the calculation:
The symmetry is No. 65. The calculation puts the volume at 34.63 Å³/atom. The formation energy comes out at -0.46 eV/atom.

***

DFT (GGA-PBE) results for a relaxed structure of MnTe2Mo. Values from VASP.

Quantum ESPRESSO input file:
```
&SYSTEM
  ibrav = 0, nat = 4, ntyp = 3
/
ATOMIC_SPECIES
Mn 54.94 Mn.upf
Te 127.60 Te.upf
Mo 95.94 Mo.upf
CELL_PARAMETERS angstrom
1.7227 0.9946 7.9889
-1.7227 0.9946 7.9889
0.0000 -1.9892 7.9889
ATOMIC_POSITIONS crystal
Mn 0.0000 0.0000 0.0000
Te 0.2486 0.2486 0.2486
Te 0.7514 0.7514 0.7514
Mo 0.5000 0.5000 0.5000
```

Values from the calculation:
The symmetry is No. 166. The calculation puts the volume at 20.53 Å³/atom. The formation energy (no corrections) is 314 meV per atom.